No. 1
First-principles (PBE) data for a relaxed structure of HgTe2NO, as listed in Alexandria via LeMat-Bulk.

a = 4.7982 Å, b = 4.7982 Å, c = 4.3839 Å
α = 90.00°, β = 90.00°, γ = 90.00°
Site moments in Bohr magnetons follow the coordinates.
Positions (direct):
Te1 0.0000 0.5000 0.0000  0.08
Te2 0.5000 0.0000 0.0000  0.08
Hg1 0.5000 0.5000 0.5000  0.02
O1 0.0000 0.0000 0.0000  0.01
N1 0.0000 0.0000 0.5000  1.37

Properties
* energy: -2.871 eV per atom

---

No. 2
First-principles (PBE) data for a relaxed structure of ScMnNiOs, as listed in Alexandria via LeMat-Bulk.

a = 4.3589 Å, b = 4.3589 Å, c = 4.3589 Å
α = 60.00°, β = 60.00°, γ = 60.00°
Site moments in Bohr magnetons follow the coordinates.
Positions (direct):
Sc1 0.2500 0.2500 0.2500  -0.02
Ni1 0.0000 0.0000 0.0000  0.43
Mn1 0.7500 0.7500 0.7500  3.24
Os1 0.5000 0.5000 0.5000  0.23

Properties
* energy of formation: -0.091 eV per atom
* energy: -8.219 eV per atom

---

No. 3
First-principles (PBE) data for a relaxed structure of Al3As, as listed in Alexandria via LeMat-Bulk.

a = 2.8790 Å, b = 2.8790 Å, c = 9.7170 Å
α = 90.00°, β = 90.00°, γ = 120.00°
Positions (direct):
As1 0.6667 0.3333 0.7500
Al1 0.0000 0.0000 0.0044
Al2 0.0000 0.0000 0.4956
Al3 0.6667 0.3333 0.2500

Properties
* energy of formation: 0.127 eV per atom
* energy: -3.843 eV per atom

---

No. 4
First-principles (PBE) data for a relaxed structure of HfScTiMn2, as listed in Alexandria via LeMat-Bulk.

a = 4.6738 Å, b = 5.0450 Å, c = 4.6738 Å
α = 90.00°, β = 90.00°, γ = 90.00°
Site moments in Bohr magnetons follow the coordinates.
Positions (direct):
Sc1 0.0000 0.5000 0.0000  -0.23
Mn1 0.0000 0.0000 0.5000  2.74
Mn2 0.5000 0.0000 0.0000  3.22
Hf1 0.0000 0.0000 0.0000  -0.40
Ti1 0.5000 0.5000 0.5000  -1.41

Properties
* energy of formation: 1.223 eV per atom
* energy: -7.281 eV per atom

---

No. 5
First-principles (PBE) data for a relaxed structure of Sr2LiTl, as listed in Alexandria via LeMat-Bulk.

a = 5.6408 Å, b = 5.6408 Å, c = 5.6408 Å
α = 120.39°, β = 120.39°, γ = 89.32°
Positions (direct):
Li1 0.7500 0.2500 0.5000
Sr1 0.0000 0.0000 0.0000
Sr2 0.2500 0.7500 0.5000
Tl1 0.5000 0.5000 0.0000

Properties
* energy of formation: -0.125 eV per atom
* energy: -2.036 eV per atom

---

No. 6
First-principles (PBE) data for a relaxed structure of Tb6Sm2ErMg, as listed in Alexandria via LeMat-Bulk.

a = 6.6082 Å, b = 10.9991 Å, c = 10.9991 Å
α = 126.44°, β = 85.96°, γ = 85.96°
Positions (direct):
Tb1 0.0286 0.0875 0.7944
Tb2 0.4714 0.2056 0.9125
Tb3 0.9714 0.9125 0.2056
Tb4 0.5286 0.7944 0.0875
Tb5 0.2781 0.9157 0.4381
Tb6 0.2219 0.5619 0.0843
Tb7 0.7219 0.0843 0.5619
Tb8 0.7781 0.4381 0.9157
Tb9 0.0184 0.7010 0.5316
Tb10 0.4816 0.4684 0.2990
Tb11 0.9816 0.2990 0.4684
Tb12 0.5184 0.5316 0.7010
Sm1 0.5041 0.8181 0.6526
Sm2 0.9959 0.3474 0.1819
Sm3 0.4959 0.1819 0.3474
Sm4 0.0041 0.6526 0.8181
Er1 0.2500 0.9932 0.0068
Er2 0.7500 0.0068 0.9932
Mg1 0.2500 0.2943 0.7057
Mg2 0.7500 0.7057 0.2943

Properties
* energy of formation: 0.104 eV per atom
* energy: -4.234 eV per atom

---

No. 7
First-principles (PBE) data for a relaxed structure of BaFe2Se, as listed in Alexandria via LeMat-Bulk.

a = 5.0551 Å, b = 5.0551 Å, c = 5.0551 Å
α = 120.03°, β = 120.03°, γ = 89.94°
Site moments in Bohr magnetons follow the coordinates.
Positions (direct):
Ba1 0.7500 0.2500 0.5000  -0.03
Fe1 0.0000 0.0000 0.0000  2.96
Fe2 0.2500 0.7500 0.5000  3.00
Se1 0.5000 0.5000 0.0000  0.06

Properties
* energy: -5.069 eV per atom

---

No. 8
First-principles (PBE) data for a relaxed structure of ScNi2Te, as listed in Alexandria via LeMat-Bulk.

a = 4.5191 Å, b = 4.5191 Å, c = 4.5191 Å
α = 60.00°, β = 60.00°, γ = 60.00°
Positions (direct):
Ni1 0.0000 0.0000 0.0000
Ni2 0.2500 0.2500 0.2500
Sc1 0.5000 0.5000 0.5000
Te1 0.7500 0.7500 0.7500

Properties
* energy: -5.426 eV per atom

---

No. 9
First-principles (PBE) data for a relaxed structure of LiZrSe2Cl, as listed in Alexandria via LeMat-Bulk.

a = 4.4263 Å, b = 5.3210 Å, c = 4.4263 Å
α = 90.00°, β = 90.00°, γ = 90.00°
Site moments in Bohr magnetons follow the coordinates.
Positions (direct):
Li1 0.0000 0.0000 0.0000  0.04
Se1 0.0000 0.0000 0.5000  -0.04
Se2 0.5000 0.0000 0.0000  -0.06
Zr1 0.0000 0.5000 0.0000  1.04
Cl1 0.5000 0.5000 0.5000  -0.01

Properties
* energy: -3.881 eV per atom

---

No. 10
First-principles (PBE) data for a relaxed structure of SrIn2HgIr, as listed in Alexandria via LeMat-Bulk.

a = 5.1566 Å, b = 5.1566 Å, c = 5.3678 Å
α = 90.00°, β = 90.00°, γ = 90.00°
Positions (direct):
Sr1 0.5000 0.5000 0.5000
Ir1 0.0000 0.0000 0.0000
Hg1 0.0000 0.0000 0.5000
In1 0.0000 0.5000 0.0000
In2 0.5000 0.0000 0.0000

Properties
* energy of formation: -0.200 eV per atom
* energy: -3.464 eV per atom

---

No. 11
First-principles (PBE) data for a relaxed structure of Ca8Ir2Pb, as listed in Alexandria via LeMat-Bulk.

a = 6.7294 Å, b = 7.7939 Å, c = 8.2411 Å
α = 113.05°, β = 108.33°, γ = 101.40°
Positions (direct):
Ca1 0.6187 0.3592 0.9200
Ca2 0.9600 0.0235 0.6404
Ca3 0.2965 0.2499 0.1864
Ca4 0.7992 0.9358 0.1862
Ca5 0.3634 0.9239 0.4219
Ca6 0.9679 0.4983 0.4214
Ca7 0.2101 0.5611 0.9207
Ca8 0.5894 0.6170 0.6401
Ir1 0.5984 0.6439 0.2879
Ir2 0.2224 0.2682 0.5360
Pb1 0.3738 0.9192 0.8389

Properties
* energy of formation: -0.311 eV per atom
* energy: -3.714 eV per atom

---

No. 12
First-principles (PBE) data for a relaxed structure of CeScAgSn, as listed in Alexandria via LeMat-Bulk.

a = 5.1873 Å, b = 5.1873 Å, c = 5.1873 Å
α = 60.00°, β = 60.00°, γ = 60.00°
Site moments in Bohr magnetons follow the coordinates.
Positions (direct):
Sc1 0.5000 0.5000 0.5000  0.38
Ag1 0.7500 0.7500 0.7500  0.03
Sn1 0.2500 0.2500 0.2500  -0.03
Ce1 0.0000 0.0000 0.0000  0.91

Properties
* energy of formation: -0.380 eV per atom
* energy: -5.160 eV per atom

---

No. 13
First-principles (PBE) data for a relaxed structure of CaCeC4, as listed in Alexandria via LeMat-Bulk.

a = 4.1631 Å, b = 4.1631 Å, c = 5.4190 Å
α = 90.00°, β = 90.00°, γ = 80.35°
Site moments in Bohr magnetons follow the coordinates.
Positions (direct):
Ca1 0.0000 0.0000 0.0000  0.01
Ce1 0.5000 0.5000 0.5000  0.65
C1 0.3994 0.3994 0.0000  0.00
C2 0.8979 0.8979 0.5000  0.00
C3 0.1021 0.1021 0.5000  0.00
C4 0.6006 0.6006 0.0000  0.00

Properties
* energy of formation: -0.035 eV per atom
* energy: -7.506 eV per atom

---

No. 14
First-principles (PBE) data for a relaxed structure of Er5Si2Te, as listed in Alexandria via LeMat-Bulk.

a = 7.7555 Å, b = 7.7555 Å, c = 8.5746 Å
α = 116.89°, β = 116.89°, γ = 90.00°
Positions (direct):
Er1 0.5134 0.7068 0.7202
Er2 0.7932 0.9866 0.2798
Er3 0.0000 0.0000 0.0000
Er4 0.5000 0.5000 0.0000
Er5 0.2068 0.0134 0.7202
Er6 0.7068 0.2068 0.7202
Er7 0.0134 0.5134 0.7202
Er8 0.2932 0.7932 0.2798
Er9 0.9866 0.4866 0.2798
Er10 0.4866 0.2932 0.2798
Si1 0.1490 0.3510 0.0000
Si2 0.6490 0.1490 0.0000
Si3 0.3510 0.8510 0.0000
Si4 0.8510 0.6490 0.0000
Te1 0.7500 0.7500 0.5000
Te2 0.2500 0.2500 0.5000

Properties
* energy: -5.331 eV per atom

---

No. 15
First-principles (PBE) data for a relaxed structure of SbOsCl2, as listed in Alexandria via LeMat-Bulk.

a = 5.3891 Å, b = 5.3891 Å, c = 3.0100 Å
α = 90.00°, β = 90.00°, γ = 112.14°
Site moments in Bohr magnetons follow the coordinates.
Positions (direct):
Sb1 0.0000 0.5000 0.5000  -0.05
Os1 0.5000 0.0000 0.5000  2.09
Cl1 0.0000 0.0000 0.0000  0.07
Cl2 0.5000 0.5000 0.0000  0.07

Properties
* energy: -3.680 eV per atom

---

No. 16
First-principles (PBE) data for a relaxed structure of LiYZn5Au2, as listed in Alexandria via LeMat-Bulk.

a = 4.6989 Å, b = 4.6989 Å, c = 8.1741 Å
α = 90.00°, β = 90.00°, γ = 90.00°
Positions (direct):
Li1 0.0000 0.0000 0.0000
Y1 0.0000 0.0000 0.5000
Zn1 0.0000 0.5000 0.2773
Zn2 0.5000 0.0000 0.2773
Zn3 0.0000 0.5000 0.7227
Zn4 0.5000 0.0000 0.7227
Zn5 0.5000 0.5000 0.5000
Au1 0.5000 0.5000 0.1614
Au2 0.5000 0.5000 0.8386

Properties
* energy of formation: -0.112 eV per atom
* energy: -2.479 eV per atom

---

No. 17
First-principles (PBE) data for a relaxed structure of RbLiCa2, as listed in Alexandria via LeMat-Bulk.

a = 4.0641 Å, b = 4.0641 Å, c = 10.9026 Å
α = 90.00°, β = 90.00°, γ = 90.00°
Positions (direct):
Ca1 0.0000 0.0000 0.8273
Ca2 0.0000 0.0000 0.1727
Rb1 0.5000 0.5000 0.5000
Li1 0.5000 0.5000 0.0000

Properties
* energy of formation: 0.135 eV per atom
* energy: -1.587 eV per atom

---

No. 18
First-principles (PBE) data for a relaxed structure of SiBTe2, as listed in Alexandria via LeMat-Bulk.

a = 7.6240 Å, b = 7.6240 Å, c = 7.6240 Å
α = 33.52°, β = 33.52°, γ = 33.52°
Site moments in Bohr magnetons follow the coordinates.
Positions (direct):
Si1 0.5000 0.5000 0.5000  0.11
Te1 0.9046 0.9046 0.9046  -0.02
Te2 0.0954 0.0954 0.0954  -0.02
B1 0.0000 0.0000 0.0000  0.27

Properties
* energy: -3.723 eV per atom

---

No. 19
First-principles (PBE) data for a relaxed structure of LaMg2Ga2Ir, as listed in Alexandria via LeMat-Bulk.

a = 5.0342 Å, b = 5.0342 Å, c = 6.6891 Å
α = 112.10°, β = 112.10°, γ = 90.00°
Positions (direct):
La1 0.5000 0.5000 0.0000
Mg1 0.2500 0.7500 0.5000
Mg2 0.7500 0.2500 0.5000
Ga1 0.7907 0.7907 0.5815
Ga2 0.2093 0.2093 0.4185
Ir1 0.0000 0.0000 0.0000

Properties
* energy of formation: 0.042 eV per atom
* energy: -3.796 eV per atom

---

No. 20
First-principles (PBE) data for a relaxed structure of Sb2Au, as listed in Alexandria via LeMat-Bulk.

a = 6.8053 Å, b = 6.8053 Å, c = 4.5080 Å
α = 90.00°, β = 90.00°, γ = 129.76°
Positions (direct):
Sb1 0.4174 0.5826 0.7500
Sb2 0.5826 0.4174 0.2500
Sb3 0.8095 0.1905 0.7500
Sb4 0.1905 0.8095 0.2500
Au1 0.0667 0.9333 0.7500
Au2 0.9333 0.0667 0.2500

Properties
* energy: -3.738 eV per atom

---

No. 21
First-principles (PBE) data for a relaxed structure of Zr2CdAg, as listed in Alexandria via LeMat-Bulk.

a = 4.4272 Å, b = 3.0756 Å, c = 6.8174 Å
α = 63.58°, β = 90.00°, γ = 90.00°
Positions (direct):
Zr1 0.0000 0.9977 0.0035
Zr2 0.0000 0.5023 0.4965
Ag1 0.5000 0.2500 0.2500
Cd1 0.5000 0.7500 0.7500

Properties
* energy of formation: -0.047 eV per atom
* energy: -5.263 eV per atom

---

No. 22
First-principles (PBE) data for a relaxed structure of Tm8Hg2Os, as listed in Alexandria via LeMat-Bulk.

a = 5.1593 Å, b = 6.8255 Å, c = 9.0729 Å
α = 108.30°, β = 106.52°, γ = 90.00°
Positions (direct):
Tm1 0.4096 0.5738 0.8192
Tm2 0.6548 0.9589 0.3097
Tm3 0.8018 0.7003 0.6035
Tm4 0.9769 0.2071 0.9539
Tm5 0.1982 0.2997 0.3965
Tm6 0.3452 0.0411 0.6903
Tm7 0.5904 0.4262 0.1808
Tm8 0.0231 0.7929 0.0461
Hg1 0.8174 0.2878 0.6348
Hg2 0.1826 0.7122 0.3652
Os1 0.5000 0.0000 0.0000

Properties
* energy of formation: -0.278 eV per atom
* energy: -4.606 eV per atom

---

No. 23
First-principles (PBE) data for a relaxed structure of ZrTiCo4, as listed in Alexandria via LeMat-Bulk.

a = 4.7913 Å, b = 4.7913 Å, c = 4.7913 Å
α = 60.00°, β = 60.00°, γ = 60.00°
Positions (direct):
Zr1 0.0000 0.0000 0.0000
Ti1 0.2500 0.2500 0.2500
Co1 0.6244 0.6244 0.1267
Co2 0.6244 0.1267 0.6244
Co3 0.1267 0.6244 0.6244
Co4 0.6244 0.6244 0.6244

Properties
* energy of formation: -0.302 eV per atom
* energy: -7.780 eV per atom

---

No. 24
First-principles (PBE) data for a relaxed structure of ScTaZn, as listed in Alexandria via LeMat-Bulk.

a = 3.0657 Å, b = 3.0657 Å, c = 7.0484 Å
α = 90.00°, β = 90.00°, γ = 120.00°
Positions (direct):
Sc1 0.0000 0.0000 0.0015
Ta1 0.6667 0.3333 0.3389
Zn1 0.3333 0.6667 0.6596

Properties
* energy of formation: 0.073 eV per atom
* energy: -6.413 eV per atom

---

No. 25
First-principles (PBE) data for a relaxed structure of Np6GaS12, as listed in Alexandria via LeMat-Bulk.

a = 7.7379 Å, b = 7.7379 Å, c = 7.7379 Å
α = 99.92°, β = 99.92°, γ = 99.92°
Site moments in Bohr magnetons follow the coordinates.
Positions (direct):
Np1 0.1327 0.2991 0.6211  3.58
Np2 0.7009 0.3789 0.8673  3.58
Np3 0.3789 0.8673 0.7009  3.58
Np4 0.8673 0.7009 0.3789  3.58
Np5 0.2991 0.6211 0.1327  3.58
Np6 0.6211 0.1327 0.2991  3.58
Ga1 0.0000 0.0000 0.0000  0.07
S1 0.4302 0.1767 0.5787  -0.13
S2 0.1767 0.5787 0.4302  -0.13
S3 0.5787 0.4302 0.1767  -0.13
S4 0.5698 0.8233 0.4213  -0.13
S5 0.8233 0.4213 0.5698  -0.13
S6 0.4213 0.5698 0.8233  -0.13
S7 0.0426 0.9406 0.6866  -0.10
S8 0.3134 0.9574 0.0594  -0.10
S9 0.0594 0.3134 0.9574  -0.10
S10 0.9574 0.0594 0.3134  -0.10
S11 0.6866 0.0426 0.9406  -0.10
S12 0.9406 0.6866 0.0426  -0.10

Properties
* energy: -8.102 eV per atom

---

No. 26
First-principles (PBE) data for a relaxed structure of SbOsPt2, as listed in Alexandria via LeMat-Bulk.

a = 5.3821 Å, b = 5.3821 Å, c = 7.6800 Å
α = 69.49°, β = 69.49°, γ = 90.00°
Positions (direct):
Sb1 0.5000 0.5000 0.0000
Sb2 0.2500 0.7500 0.5000
Os1 0.0000 0.0000 0.0000
Os2 0.7500 0.2500 0.5000
Pt1 0.6584 0.1250 0.2500
Pt2 0.0916 0.6250 0.2500
Pt3 0.3750 0.3416 0.7500
Pt4 0.8750 0.9084 0.7500

Properties
* energy: -6.241 eV per atom